Entry 1:
Na5B7C3 after structural relaxation, computed with PBE.

Cell lengths 4.9932, 7.6905, 9.0419 Å; angles 93.61, 106.01, 108.94 degrees
Sites, in units of the cell vectors:
Na1 0.0000 0.0000 0.0000
Na2 0.0931 0.6984 0.4924
Na3 0.1965 0.4006 0.9990
Na4 0.2934 0.0981 0.4930
Na5 0.3968 0.8000 0.9996
Na6 0.4923 0.4987 0.4931
Na7 0.5963 0.1984 0.9977
Na8 0.6950 0.8985 0.4925
Na9 0.7969 0.5994 0.0011
Na10 0.8924 0.2981 0.4935
B1 0.0110 0.4494 0.2462
B2 0.1147 0.1502 0.7471
B3 0.1776 0.9487 0.7468
B4 0.2289 0.8493 0.2461
B5 0.3886 0.3606 0.7462
B6 0.4110 0.2487 0.2467
B7 0.5285 0.9489 0.7459
B8 0.5557 0.7311 0.7456
B9 0.6026 0.6377 0.2456
B10 0.7744 0.1663 0.7463
B11 0.8143 0.0606 0.2464
B12 0.8771 0.8491 0.2455
B13 0.9127 0.7479 0.7462
B14 0.9767 0.5371 0.7458
C1 0.0765 0.2549 0.2468
C2 0.2765 0.6463 0.2455
C3 0.3023 0.5447 0.7452
C4 0.4800 0.0520 0.2469
C5 0.6704 0.4434 0.2463
C6 0.7073 0.3529 0.7461

Output
polymorph energy (0 for the lowest one)	35	meV/atom
ΔH_f (0 K)	0.1477	eV/atom
SG	P1 (1)
magnetization	0.0	μB per formula unit



Entry 2:
NpZnBi2O8 after structural relaxation, computed with PBE.

Cell lengths 5.0148, 5.0148, 7.0843 Å; angles 90.00, 90.00, 92.68 degrees
Sites, in units of the cell vectors:
Np1 0.0000 0.0000 0.0000
Zn1 0.0000 0.0000 0.5000
Bi1 0.5000 0.5000 0.2614
Bi2 0.5000 0.5000 0.7386
O1 0.1815 0.8185 0.2162
O2 0.1815 0.8185 0.7838
O3 0.2828 0.2828 0.5000
O4 0.2970 0.2970 0.0000
O5 0.7030 0.7030 0.0000
O6 0.7172 0.7172 0.5000
O7 0.8185 0.1815 0.2162
O8 0.8185 0.1815 0.7838

Output
SG	Cmmm (65)
magnetization	0.1	μB per formula unit
DFT total energy	-81.20	eV/cell



Entry 3:
Li2ScSi after structural relaxation, computed with PBE.

Cell lengths 3.4669, 3.4669, 5.8074 Å; angles 90.00, 90.00, 90.00 degrees
Sites, in units of the cell vectors:
Li1 0.0000 0.0000 0.2098
Li2 0.0000 0.0000 0.7902
Sc1 0.5000 0.5000 0.5000
Si1 0.5000 0.5000 0.0000

Output
SG	P4/mmm (123)
magnetization	0.0	μB per formula unit
DFT total energy	-15.63	eV/cell



Entry 4:
ScInSe2 after structural relaxation, computed with PBE.

Cell lengths 3.4736, 3.4736, 7.6470 Å; angles 90.00, 90.00, 90.00 degrees
Sites, in units of the cell vectors:
Sc1 0.0000 0.0000 0.0000
In1 0.0000 0.0000 0.5000
Se1 0.5000 0.5000 0.2025
Se2 0.5000 0.5000 0.7975

Output
SG	P4/mmm (123)
magnetization	0.0	μB per formula unit
DFT total energy	-19.74	eV/cell



Entry 5:
KReCl2 after structural relaxation, computed with PBE.

Cell lengths 5.6328, 5.6328, 3.2823 Å; angles 103.23, 103.23, 89.90 degrees
Sites, in units of the cell vectors:
K1 0.0000 0.0000 0.0000
Re1 0.5000 0.5000 0.0000
Cl1 0.0000 0.5000 0.0000
Cl2 0.5000 0.0000 0.0000

Output
polymorph energy (0 for the lowest one)	374	meV/atom
SG	C2/m (12)
magnetization	3.9	μB per formula unit



Entry 6:
BeAgSb2 after structural relaxation, computed with PBE.

Cell lengths 6.7083, 6.7083, 6.7083 Å; angles 148.96, 146.40, 46.39 degrees
Sites, in units of the cell vectors:
Be1 0.0000 0.0000 0.0000
Ag1 0.7942 0.2942 0.5000
Sb1 0.1692 0.6692 0.5000
Sb2 0.4676 0.4676 0.0000

Output
SG	Imm2 (44)
magnetization	0.0	μB per formula unit
DFT total energy	-13.47	eV/cell



Entry 7:
TlFe2W after structural relaxation, computed with PBE.

Cell lengths 4.5548, 4.5548, 5.1149 Å; angles 98.99, 98.99, 37.65 degrees
Sites, in units of the cell vectors:
Tl1 0.0000 0.0000 0.0000
Fe1 0.2426 0.2426 0.6930
Fe2 0.7574 0.7574 0.3070
W1 0.5000 0.5000 0.5000

Output
polymorph energy (0 for the lowest one)	194	meV/atom
ΔH_f (0 K)	0.6303	eV/atom
SG	C2/m (12)
magnetization	3.9	μB per formula unit



Entry 8:
NbZn3Fe8 after structural relaxation, computed with PBE.

Cell lengths 4.7599, 4.7599, 7.7430 Å; angles 90.00, 90.00, 120.00 degrees
Sites, in units of the cell vectors:
Nb1 0.0000 0.0000 0.0000
Zn1 0.0000 0.0000 0.3719
Zn2 0.6667 0.3333 0.4914
Zn3 0.6667 0.3333 0.8637
Fe1 0.1649 0.3298 0.6807
Fe2 0.1649 0.8351 0.6807
Fe3 0.3333 0.6667 0.4271
Fe4 0.3333 0.6667 0.9314
Fe5 0.5035 0.0070 0.1800
Fe6 0.5035 0.4965 0.1800
Fe7 0.6702 0.8351 0.6807
Fe8 0.9930 0.4965 0.1800

Output
ΔH_f (0 K)	0.0462	eV/atom
SG	P3m1 (156)
magnetization	13.4	μB per formula unit